VASP calculation (PBE) on a relaxed Tb2Be7Au12 crystal.

Cell lengths 3.994, 9.893, 9.893 Å; angles 120.00, 90.00, 90.00 degrees
Element x y z (fractional)
Tb  0.248  0.333  0.667
Tb  0.752  0.667  0.333
Be  0.500  0.000  0.000
Be  0.253  0.888  0.287
Be  0.253  0.399  0.112
Be  0.253  0.713  0.601
Be  0.747  0.112  0.713
Be  0.747  0.601  0.888
Be  0.747  0.287  0.399
Au  0.249  0.621  0.080
Au  0.249  0.459  0.379
Au  0.249  0.920  0.541
Au  0.751  0.379  0.920
Au  0.751  0.541  0.621
Au  0.751  0.080  0.459
Au  0.248  0.120  0.260
Au  0.248  0.140  0.880
Au  0.248  0.740  0.860
Au  0.752  0.880  0.740
Au  0.752  0.860  0.120
Au  0.752  0.260  0.140

Values from the calculation:
SG = No. 147
DOS(E_F) = 5.5 states/eV per cell
ΔE_f = -0.321 eV/atom

VASP calculation (PBE) on a relaxed Mg2InCo crystal.

Cell lengths 3.248, 3.248, 6.929 Å; angles 90.00, 90.00, 90.00 degrees
Element x y z (fractional)
Co  0.000  0.000  0.496
In  0.500  0.500  0.706
Mg  0.000  0.000  0.002
Mg  0.500  0.500  0.296

Values from the calculation:
SG = No. 99
DOS(E_F) = 1.6 states/eV per cell
ΔE_f = 0.059 eV/atom